Entry 1:
NbP3Os | SCAN | single point on PBEsol structure

The structure belongs to space group Pm-3m (No. 221); the cell edges are 4.6726, 4.6726 and 4.6726 Å and the angles 90.00°, 90.00° and 90.00°. The inequivalent atoms are Nb at (0.0000, 0.0000, 0.0000), P at (0.0000, 0.0000, 0.5000) and Os at (0.5000, 0.5000, 0.5000).

As for the formation energy: 1444 meV per atom. The calculation puts the total energy at -25.80 eV/atom. The value obtained for the total magnetization is 2.38 μB/cell.



Entry 2:
NbPOsS2 | SCAN | single point on PBEsol structure

The structure belongs to space group P4/mmm (No. 123); the cell edges are 4.6085, 4.6085 and 4.9282 Å and the angles 90.00°, 90.00° and 90.00°. The inequivalent atoms are Nb at (0.0000, 0.0000, 0.0000), P at (0.0000, 0.0000, 0.5000), Os at (0.5000, 0.5000, 0.5000) and S at (0.0000, 0.5000, 0.0000).

The value obtained for the uncorrected formation energy is 1.09 eV/atom. The calculation puts the total energy at -25.84 eV/atom. The value obtained for the total magnetization is 3.62 μB/cell.



Repeat the first record exactly.
NbP3Os | SCAN | single point on PBEsol structure

The structure belongs to space group Pm-3m (No. 221); the cell edges are 4.6726, 4.6726 and 4.6726 Å and the angles 90.00°, 90.00° and 90.00°. The inequivalent atoms are Nb at (0.0000, 0.0000, 0.0000), P at (0.0000, 0.0000, 0.5000) and Os at (0.5000, 0.5000, 0.5000).

As for the formation energy: 1444 meV per atom. The calculation puts the total energy at -25.80 eV/atom. The value obtained for the total magnetization is 2.38 μB/cell.